The following is a DFT calculation (PBE) of an optimized crystal structure of CdAuN2F.

It has space group P4/mmm (No. 123), with a = 4.3660 Å, b = 4.3660 Å, c = 4.3411 Å, α = 90.00°, β = 90.00° and γ = 90.00°. The asymmetric unit holds Cd at (0.0000, 0.0000, 0.0000), Au at (0.5000, 0.5000, 0.5000), N at (0.0000, 0.5000, 0.0000) and F at (0.0000, 0.0000, 0.5000).


The following is a DFT calculation (PBE) of an optimized crystal structure of CdAuN2F.

It has space group P4/mmm (No. 123), with a = 3.9512 Å, b = 3.9512 Å, c = 5.8408 Å, α = 90.00°, β = 90.00° and γ = 90.00°. The asymmetric unit holds Cd at (0.0000, 0.0000, 0.0000), Au at (0.0000, 0.0000, 0.5000), N at (0.0000, 0.5000, 0.5000) and F at (0.5000, 0.5000, 0.0000).


Total magnetization: 3.36, 2.94 (μB per formula unit)
Energy: -3.17, -3.48 (eV/atom)
Uncorrected formation energy: 1.3776, 1.0646 (eV per atom)